Entry 1:
## Pr3HPt8 (GGA-PBE)

Data for an optimized crystal structure of Pr3HPt8.

## Properties
- Symmetry: R3m, No. 160
- Spin magnetization: 0.0000 μB/atom
- Electronic total energy: -6.36 eV per atom
- Density: 13991 kg/m³

Unit cell a=5.5075 b=5.5075 c=9.5130 alpha=73.17 beta=73.17 gamma=60.00
Closest atoms and distances in Å follow each position.
Fractional positions:
Pr  0.6164  0.6164  0.1508  12 Pt 3.18-3.25, 4 Pr 3.54-3.55
Pr  0.0080  0.0080  0.9761  9 Pt 3.04-3.32
Pr  0.4846  0.4846  0.5463  12 Pt 3.04-3.37, 3 H 3.36
H  0.1919  0.1919  0.4242  3 Pt 1.84
Pt  0.5578  0.0507  0.8337  6 Pt 2.71-2.79, 3 Pr 3.04
Pt  0.0526  0.5658  0.3290  1 H 1.84
Pt  0.5578  0.5578  0.8337  6 Pt 2.71-2.79, 3 Pr 3.04
Pt  0.0526  0.0526  0.3290  1 H 1.84
Pt  0.8053  0.8053  0.5842  6 Pt 2.73-2.76
Pt  0.3065  0.3065  0.0806  6 Pt 2.74-2.76
Pt  0.0507  0.5578  0.8337  6 Pt 2.71-2.79, 3 Pr 3.04
Pt  0.5658  0.0526  0.3290  1 H 1.84

=====

Entry 2:
## Li2VMo (GGA-PBE)

Data for an optimized crystal structure of Li2VMo.

## Properties
- Symmetry: Fm-3m, No. 225
- Spin magnetization: 0.1019 μB/atom
- Electronic total energy: -5.14 eV per atom
- Density: 4803 kg/m³

Unit cell a=4.2835 b=4.2835 c=4.2835 alpha=60.00 beta=60.00 gamma=60.00
Closest atoms and distances in Å follow each position.
Fractional positions:
Mo  0.5000  0.5000  0.5000  8 Li 2.62
V  0.0000  0.0000  0.0000  8 Li 2.62
Li  0.2500  0.2500  0.2500  4 Mo 2.62, 4 V 2.62
Li  0.7500  0.7500  0.7500  4 Mo 2.62, 4 V 2.62

=====

Entry 3:
## InTcAg (GGA-PBE)

Data for an optimized crystal structure of InTcAg.

## Properties
- Symmetry: P3m1, No. 156
- Spin magnetization: 0.1705 μB/atom
- Electronic total energy: -4.87 eV per atom
- Density: 9897 kg/m³

Unit cell a=2.9578 b=2.9578 c=7.1011 alpha=90.00 beta=90.00 gamma=120.00
Closest atoms and distances in Å follow each position.
Fractional positions:
Ag  0.0000  0.0000  0.9921  3 Tc 2.88, 6 Ag 2.96, 3 In 3.02
In  0.6667  0.3333  0.3427  3 Tc 2.86, 6 In 2.96, 3 Ag 3.02
Tc  0.3333  0.6667  0.6652  3 In 2.86, 3 Ag 2.88, 6 Tc 2.96

=====

Entry 4:
## Rb3U2O8 (GGA-PBE)

Data for an optimized crystal structure of Rb3U2O8.

## Properties
- Symmetry: R-3m, No. 166
- Spin magnetization: 0.0833 μB/atom
- Formation energy from raw total energies: -210 kJ/mol of atoms
- Density: 4945 kg/m³

Unit cell a=6.4880 b=6.4880 c=8.7660 alpha=68.28 beta=68.28 gamma=60.00
Closest atoms and distances in Å follow each position.
Fractional positions:
Rb  0.0000  0.0000  0.0000  6 O 3.10
Rb  0.8101  0.8101  0.5697  4 O 2.93-2.94
Rb  0.1899  0.1899  0.4303  4 O 2.93-2.94
U  0.6038  0.6038  0.1885  4 O 1.95-1.96
U  0.3962  0.3962  0.8115  4 O 1.95-1.96
O  0.6863  0.6863  0.9410  1 U 1.96
O  0.3137  0.3137  0.0590  1 U 1.96
O  0.2561  0.7226  0.2987  1 U 1.95
O  0.7226  0.2561  0.2987  1 U 1.95
O  0.7226  0.7226  0.2987  1 U 1.95
O  0.2774  0.7439  0.7013  1 U 1.95
O  0.7439  0.2774  0.7013  1 U 1.95
O  0.2774  0.2774  0.7013  1 U 1.95

=====

Entry 5:
## Rb2ZnBrF6 (GGA-PBE)

Data for an optimized crystal structure of Rb2ZnBrF6.

## Properties
- Symmetry: I4/mmm, No. 139
- Spin magnetization: 0.0844 μB/atom
- Formation energy from raw total energies: -192 kJ/mol of atoms
- Density: 3799 kg/m³

Unit cell a=6.6805 b=6.6805 c=6.3303 alpha=58.15 beta=58.15 gamma=90.00
Closest atoms and distances in Å follow each position.
Fractional positions:
Zn  0.5000  0.5000  0.0000  4 F 1.93
Br  0.0000  0.0000  0.0000  2 F 1.95
Rb  0.7500  0.2500  0.5000  12 F 3.19-3.34
Rb  0.2500  0.7500  0.5000  12 F 3.19-3.34
F  0.2318  0.2318  0.5365  1 Br 1.95
F  0.7682  0.7682  0.4635  1 Br 1.95
F  0.2956  0.2956  0.0000  1 Zn 1.93
F  0.7044  0.7044  0.0000  1 Zn 1.93
F  0.7044  0.2956  0.0000  1 Zn 1.93
F  0.2956  0.7044  0.0000  1 Zn 1.93

=====

Entry 6:
## Er2Re2C3 (GGA-PBE)

Data for an optimized crystal structure of Er2Re2C3.

## Properties
- Symmetry: C2/m, No. 12
- Spin magnetization: 0.0000 μB/atom
- Electronic total energy: -9.17 eV per atom
- Density: 12515 kg/m³

Unit cell a=3.2497 b=5.6459 c=6.0786 alpha=112.57 beta=105.50 gamma=90.00
Closest atoms and distances in Å follow each position.
Fractional positions:
Er  0.6103  0.8181  0.2205  5 C 2.41-2.53
Er  0.3897  0.1819  0.7795  5 C 2.41-2.53
Re  0.8455  0.6776  0.6910  4 C 1.99-2.14
Re  0.1545  0.3224  0.3090  4 C 1.99-2.14
C  0.0000  0.0000  0.0000  2 Re 1.99
C  0.7535  0.2655  0.5070  3 Re 2.09-2.14
C  0.2465  0.7345  0.4930  3 Re 2.09-2.14

=====

Entry 7:
## SnSeBr (GGA-PBE)

Data for an optimized crystal structure of SnSeBr.

## Properties
- Symmetry: C2/m, No. 12
- Spin magnetization: 0.0000 μB/atom
- Formation energy from raw total energies: -47 kJ/mol of atoms
- Density: 4773 kg/m³

Unit cell a=4.5368 b=5.4446 c=8.6415 alpha=85.00 beta=90.00 gamma=114.62
Closest atoms and distances in Å follow each position.
Fractional positions:
Sn  0.8177  0.6354  0.7555  3 Se 2.98-3.03, 3 Br 3.07-3.16
Sn  0.1823  0.3646  0.2445  3 Se 2.98-3.03, 3 Br 3.07-3.16
Se  0.3860  0.7719  0.9665  1 Se 2.38
Se  0.6140  0.2281  0.0335  1 Se 2.38
Br  0.8660  0.7319  0.3404  3 Sn 3.07-3.16
Br  0.1340  0.2681  0.6596  3 Sn 3.07-3.16

=====

Entry 8:
## NiCSCl2 (GGA-PBE)

Data for an optimized crystal structure of NiCSCl2.

## Properties
- Symmetry: P4/mmm, No. 123
- Spin magnetization: 0.3310 μB/atom
- Formation energy from raw total energies: 129 kJ/mol of atoms
- Density: 3553 kg/m³

Unit cell a=4.5357 b=4.5357 c=3.9454 alpha=90.00 beta=90.00 gamma=90.00
Closest atoms and distances in Å follow each position.
Fractional positions:
Ni  0.5000  0.5000  0.5000  8 Cl 3.01, 4 S 3.21
S  0.0000  0.0000  0.5000  2 C 1.97
C  0.0000  0.0000  0.0000  2 S 1.97
Cl  0.0000  0.5000  0.0000  2 C 2.27
Cl  0.5000  0.0000  0.0000  2 C 2.27